Computed, not measured: an optimized crystal structure of SmZrPa at the PBE-GGA level of DFT.

CIF file:
```
data_SmZrPa
_symmetry_space_group_name_H-M 'I 4 m m'
_symmetry_Int_Tables_number 107
_symmetry_space_group_name_Hall 'I 4 -2'
_cell_length_a 3.2255
_cell_length_b 3.2255
_cell_length_c 15.4081
_cell_angle_alpha 90.00
_cell_angle_beta 90.00
_cell_angle_gamma 90.00
loop_
_atom_site_label
_atom_site_type_symbol
_atom_site_fract_x
_atom_site_fract_y
_atom_site_fract_z
Sm1 Sm 0.0000 0.0000 0.0000
Zr1 Zr 0.0000 0.0000 0.6743
Pa1 Pa 0.0000 0.0000 0.3265
```

Computed properties:
Total magnetic moment, μB/f.u.: 0.0
ΔE_f, eV per atom: 0.19